1.
Density functional theory data (PBE-GGA) for crystalline LuCuNiB at its relaxed geometry.

SG	F-43m, No. 216
mass density	9.54	g cm⁻³
VASP energy	-4.95	eV/atom
magnetic moment	0.0	μB per formula unit

a = 4.2330 Å, b = 4.2330 Å, c = 4.2330 Å
α = 60.00°, β = 60.00°, γ = 60.00°
Last column: nearest neighbours and their distance in Å.
Sites, in units of the cell vectors:
Lu1 0.0000 0.0000 0.0000  4 Ni 2.59, 4 B 2.59
Cu1 0.5000 0.5000 0.5000  4 Ni 2.59, 4 B 2.59
Ni1 0.7500 0.7500 0.7500  4 Cu 2.59, 4 Lu 2.59
B1 0.2500 0.2500 0.2500  4 Cu 2.59, 4 Lu 2.59

2.
Density functional theory data (PBE-GGA) for crystalline LuCuBPd at its relaxed geometry.

SG	F-43m, No. 216
mass density	9.83	g cm⁻³
VASP energy	-4.94	eV/atom
magnetic moment	0.0	μB per formula unit

a = 4.3972 Å, b = 4.3972 Å, c = 4.3972 Å
α = 60.00°, β = 60.00°, γ = 60.00°
Last column: nearest neighbours and their distance in Å.
Sites, in units of the cell vectors:
Lu1 0.0000 0.0000 0.0000  4 B 2.69, 4 Pd 2.69
Cu1 0.5000 0.5000 0.5000  4 Pd 2.69, 4 B 2.69
B1 0.2500 0.2500 0.2500  4 Cu 2.69, 4 Lu 2.69
Pd1 0.7500 0.7500 0.7500  4 Cu 2.69, 4 Lu 2.69